# 1
First-principles (PBE) data for a relaxed Na3Ca2S2I3 crystal, as listed in Alexandria.

a b c (Å): 5.130 5.130 13.727
angles (deg): 100.77 100.77 90.00
Sites, in units of the cell vectors:
I 0.379 0.379 0.758
Ca 0.250 0.750 0.500
I 0.621 0.621 0.242
I 0.000 0.000 0.000
Na 0.500 0.500 0.000
Na 0.886 0.886 0.772
S 0.784 0.784 0.567
S 0.216 0.216 0.433
Ca 0.750 0.250 0.500
Na 0.114 0.114 0.228

Output
The uncorrected formation energy is -1.465 eV/atom. As for the space-group type: I4/mmm. As for the size of the total moment: 0.00 μB/f.u. The crystal system is tetragonal.

---

# 2
First-principles (PBE) data for a relaxed HoLuTe2 crystal, as listed in Alexandria.

a b c (Å): 5.301 5.301 5.301
angles (deg): 60.00 60.00 60.00
Sites, in units of the cell vectors:
Te 0.250 0.250 0.250
Lu 0.500 0.500 0.500
Ho 0.000 0.000 0.000
Te 0.750 0.750 0.750

Output
The uncorrected formation energy is -1.057 eV/atom. As for the space-group type: Fm-3m. As for the relative energy among the computed polymorphs: 111.5 meV per atom. As for the size of the total moment: 1.13 μB/f.u. The crystal system is cubic.

---

# 3
First-principles (PBE) data for a relaxed Dy2TmPb crystal, as listed in Alexandria.

a b c (Å): 4.852 4.824 4.824
angles (deg): 90.00 90.00 90.00
Sites, in units of the cell vectors:
Tm 0.500 0.500 0.500
Dy 0.000 0.500 0.000
Dy 0.000 0.000 0.500
Pb 0.500 0.000 0.000

Output
The calculation puts the formation energy at -0.266 eV/atom. As for the space-group type: P4/mmm. As for the relative energy among the computed polymorphs: 0.0 meV per atom. As for the size of the total moment: 0.00 μB/f.u. The crystal system is tetragonal.

---

# 4
First-principles (PBE) data for a relaxed UHgBiO6 crystal, as listed in Alexandria.

a b c (Å): 5.692 5.692 9.895
angles (deg): 90.00 90.00 120.00
Sites, in units of the cell vectors:
Hg 0.667 0.333 0.750
O 0.354 0.315 0.370
O 0.315 0.354 0.870
O 0.315 0.961 0.630
Hg 0.333 0.667 0.250
U 0.333 0.667 0.750
O 0.961 0.315 0.130
Bi 0.000 0.000 0.000
O 0.685 0.646 0.130
O 0.039 0.685 0.870
O 0.646 0.685 0.630
U 0.667 0.333 0.250
O 0.354 0.039 0.130
O 0.039 0.354 0.630
O 0.685 0.039 0.370
O 0.961 0.646 0.370
O 0.646 0.961 0.870
Bi 0.000 0.000 0.500

Output
The uncorrected formation energy is -1.671 eV/atom. As for the space-group type: P-31c. As for the size of the total moment: 0.00 μB/f.u. The crystal system is trigonal.

---

# 5
First-principles (PBE) data for a relaxed LiSi2Rh crystal, as listed in Alexandria.

a b c (Å): 4.587 4.587 4.580
angles (deg): 132.84 132.83 69.05
Sites, in units of the cell vectors:
Si 0.750 0.250 0.500
Si 0.000 0.000 0.000
Rh 0.250 0.750 0.500
Li 0.500 0.500 0.000

Output
The uncorrected formation energy is -0.357 eV/atom. As for the space-group type: F222. As for the relative energy among the computed polymorphs: 134.0 meV per atom. As for the size of the total moment: 0.00 μB/f.u. The crystal system is orthorhombic.

---

# 6
First-principles (PBE) data for a relaxed PmThRe crystal, as listed in Alexandria.

a b c (Å): 3.509 3.509 7.282
angles (deg): 103.94 103.94 90.00
Sites, in units of the cell vectors:
Th 0.291 0.291 0.581
Pm 0.038 0.038 0.076
Re 0.671 0.671 0.343

Output
The calculation puts the formation energy at 0.134 eV/atom. As for the space-group type: I4mm. As for the relative energy among the computed polymorphs: 2.4 meV per atom. As for the size of the total moment: 0.00 μB/f.u. The crystal system is tetragonal.